Sc3NbPd: relaxed, GGA-PBE.

Unit cell a=4.9746 b=4.9746 c=4.9746 alpha=90.00 beta=90.00 gamma=90.00
Each line ends with the local moment (μB).
Fractional positions:
Nb  0.5000  0.5000  0.5000  1.19
Sc  0.0000  0.0000  0.5000  -0.01
Sc  0.0000  0.5000  0.0000  -0.07
Pd  0.0000  0.0000  0.0000  0.02
Sc  0.5000  0.0000  0.0000  -0.10

**Energy of formation**: 0.35 eV/atom
**Space-group type**: Pm-3m (221)



Y2MgSi4Pt3: relaxed, GGA-PBE.

Unit cell a=4.1161 b=4.1161 c=10.5283 alpha=90.00 beta=90.00 gamma=90.00
Fractional positions:
Pt  0.0000  0.5000  0.1221
Si  0.5000  0.0000  0.6495
Pt  0.5000  0.0000  0.8779
Mg  0.5000  0.5000  0.5000
Si  0.0000  0.0000  0.0000
Pt  0.0000  0.0000  0.5000
Si  0.0000  0.5000  0.3505
Y  0.0000  0.5000  0.7535
Si  0.5000  0.5000  0.0000
Y  0.5000  0.0000  0.2465

**Total DFT energy (no corrections)**: -0.4712 Ry per atom
**Space-group type**: P-4m2 (115)



Rb3Tl2Cd4: relaxed, GGA-PBE.

Unit cell a=5.2545 b=7.2315 c=10.6709 alpha=68.54 beta=76.06 gamma=68.77
Fractional positions:
Rb  0.6136  0.1367  0.6352
Cd  0.9079  0.5495  0.6335
Rb  0.3864  0.8633  0.3648
Cd  0.7375  0.5921  0.9336
Tl  0.7079  0.3384  0.2457
Cd  0.0921  0.4505  0.3665
Tl  0.2921  0.6616  0.7543
Rb  0.0000  0.0000  0.0000
Cd  0.2625  0.4079  0.0664

**Energy of formation**: -0.07 eV/atom
**Space-group type**: P-1 (2)



no.,size of the total moment (μB per formula unit)
1,1.3
2,0.0
3,0.0